A.
VASP calculation (PBE-GGA) on a relaxed structure of HoGa3Os.

Output
symmetry: Pm-3m (221)
total magnetization: 0.00 μB per formula unit
crystal system: cubic
mass density: 10.6 Mg/m³

a = 6.416 Å, b = 6.416 Å, c = 6.416 Å
α = 90.00°, β = 90.00°, γ = 90.00°
Atoms (fractional coordinates):
Ho 0.000 0.000 0.500
Ho 0.000 0.500 0.000
Ho 0.500 0.000 0.000
Ga 0.000 0.000 0.000
Ga 0.288 0.288 0.288
Ga 0.288 0.288 0.712
Ga 0.288 0.712 0.288
Ga 0.288 0.712 0.712
Ga 0.712 0.288 0.288
Ga 0.712 0.288 0.712
Ga 0.712 0.712 0.288
Ga 0.712 0.712 0.712
Os 0.000 0.500 0.500
Os 0.500 0.000 0.500
Os 0.500 0.500 0.000

=====

B.
VASP calculation (PBE-GGA) on a relaxed structure of HoGa3Os.

Output
symmetry: Cmcm (63)
total magnetization: 0.00 μB per formula unit
crystal system: orthorhombic
mass density: 10.3 Mg/m³

a = 6.562 Å, b = 6.562 Å, c = 9.136 Å
α = 90.00°, β = 90.00°, γ = 112.61°
Atoms (fractional coordinates):
Ho 0.134 0.866 0.750
Ho 0.349 0.651 0.250
Ho 0.651 0.349 0.750
Ho 0.866 0.134 0.250
Ga 0.104 0.896 0.083
Ga 0.104 0.896 0.417
Ga 0.175 0.440 0.750
Ga 0.321 0.321 0.000
Ga 0.321 0.321 0.500
Ga 0.440 0.175 0.250
Ga 0.560 0.825 0.750
Ga 0.679 0.679 0.000
Ga 0.679 0.679 0.500
Ga 0.825 0.560 0.250
Ga 0.896 0.104 0.583
Ga 0.896 0.104 0.917
Os 0.000 0.500 0.000
Os 0.000 0.500 0.500
Os 0.500 0.000 0.000
Os 0.500 0.000 0.500

=====

Name the least stable of them. B.